Below is a geometry-optimized BaYTi4O7 structure, with properties calculated at the GGA-PBE level.

Summary:
- Formation energy without anion corrections: -3381 kJ/mol of formula units

Cell: 6.3724 6.3724 10.7430 Å, 90.00 90.00 120.00°
Space group P6_3mc (No. 186)
One atom of each set of equivalent atoms:
Ba (0.3333, 0.6667, 0.0000) x2
Y (0.3333, 0.6667, 0.3465) x2
Ti (0.0000, 0.0000, 0.4689) x2
Ti (0.1509, 0.3018, 0.6638) x6
O (0.0000, 0.0000, 0.2720) x2
O (0.0019, 0.5010, 0.7150) x6
O (0.1765, 0.3530, 0.4809) x6

=====

Below is a geometry-optimized Ba3YTi2O9 structure, with properties calculated at the GGA-PBE level.

Summary:
- Formation energy without anion corrections: -4300 kJ/mol of formula units

Cell: 5.8954 5.8954 7.2778 Å, 90.00 90.00 120.00°
Space group P-3m1 (No. 164)
One atom of each set of equivalent atoms:
Ba (0.0000, 0.0000, 0.0000) x1
Ba (0.3333, 0.6667, 0.6822) x2
Y (0.0000, 0.0000, 0.5000) x1
Ti (0.3333, 0.6667, 0.1718) x2
O (0.0000, 0.5000, 0.0000) x3
O (0.1767, 0.3533, 0.3159) x6

=====

Below is a geometry-optimized BaTi2ZnO6 structure, with properties calculated at the GGA-PBE level.

Summary:
- Formation energy without anion corrections: -2618 kJ/mol of formula units

Cell: 9.2977 11.6904 6.4478 Å, 90.00 114.10 90.00°
Space group C2/c (No. 15)
One atom of each set of equivalent atoms:
Ba (0.0000, 0.1095, 0.2500) x4
Ti (0.1415, 0.4232, 0.1612) x8
Zn (0.0000, 0.2070, 0.7500) x4
O (0.0834, 0.2827, 0.0444) x8
O (0.1203, 0.4627, 0.4446) x8
O (0.1436, 0.0883, 0.7058) x8

=====

Below is a geometry-optimized BaTi2Zn2O7 structure, with properties calculated at the GGA-PBE level.

Summary:
- Formation energy without anion corrections: -2871 kJ/mol of formula units

Cell: 3.8093 16.2222 5.1516 Å, 90.00 90.00 90.00°
Space group Imm2 (No. 44)
One atom of each set of equivalent atoms:
Ba (0.0000, 0.0000, 0.0000) x2
Ti (0.0000, 0.3862, 0.9856) x4
Zn (0.0000, 0.2661, 0.4685) x4
O (0.0000, 0.1187, 0.4076) x4
O (0.0000, 0.2690, 0.8611) x4
O (0.0000, 0.3858, 0.3351) x4
O (0.0000, 0.5000, 0.8776) x2

=====

Below is a geometry-optimized Ba3ZrTi2O9 structure, with properties calculated at the GGA-PBE level.

Summary:
- Formation energy without anion corrections: -4503 kJ/mol of formula units

Cell: 5.8035 5.8035 7.1177 Å, 90.00 90.00 120.00°
Space group P-3m1 (No. 164)
One atom of each set of equivalent atoms:
Ba (0.0000, 0.0000, 0.0000) x1
Ba (0.3333, 0.6667, 0.6728) x2
Zr (0.0000, 0.0000, 0.5000) x1
Ti (0.3333, 0.6667, 0.1623) x2
O (0.0000, 0.5000, 0.0000) x3
O (0.1721, 0.3442, 0.3258) x6

=====

Below is a geometry-optimized Ba2ZrTiO6 structure, with properties calculated at the GGA-PBE level.

Summary:
- Formation energy without anion corrections: -3031 kJ/mol of formula units

Cell: 8.2809 8.2809 8.2809 Å, 90.00 90.00 90.00°
Space group Fm-3m (No. 225)
One atom of each set of equivalent atoms:
Ba (0.2500, 0.2500, 0.2500) x8
Zr (0.0000, 0.0000, 0.0000) x4
Ti (0.0000, 0.0000, 0.5000) x4
O (0.0000, 0.0000, 0.2576) x24

=====

Below is a geometry-optimized Ba4Zr3TiO12 structure, with properties calculated at the GGA-PBE level.

Summary:
- Formation energy without anion corrections: -6113 kJ/mol of formula units

Cell: 4.2146 4.2146 16.7530 Å, 90.00 90.00 90.00°
Space group P4/mmm (No. 123)
One atom of each set of equivalent atoms:
Ba (0.0000, 0.0000, 0.1165) x2
Ba (0.0000, 0.0000, 0.3722) x2
Zr (0.5000, 0.5000, 0.2452) x2
Zr (0.5000, 0.5000, 0.5000) x1
Ti (0.5000, 0.5000, 0.0000) x1
O (0.0000, 0.5000, 0.0000) x2
O (0.0000, 0.5000, 0.2454) x4
O (0.0000, 0.5000, 0.5000) x2
O (0.5000, 0.5000, 0.1161) x2
O (0.5000, 0.5000, 0.3723) x2

=====

Below is a geometry-optimized BaTl2O4 structure, with properties calculated at the GGA-PBE level.

Summary:
- Formation energy without anion corrections: -823 kJ/mol of formula units
- E above lowest polymorph: 33 kJ/mol of formula units

Cell: 10.5994 6.2653 22.1152 Å, 90.00 90.11 90.00°
Space group C2/c (No. 15)
One atom of each set of equivalent atoms:
Ba (0.0000, 0.1169, 0.2500) x4
Ba (0.1660, 0.3726, 0.6429) x8
Tl (0.0001, 0.1342, 0.0688) x8
Tl (0.1603, 0.3702, 0.9459) x8
Tl (0.1663, 0.3692, 0.8050) x8
O (0.0000, 0.4648, 0.7500) x4
O (0.0000, 0.5000, 0.0000) x4
O (0.0472, 0.1574, 0.8710) x8
O (0.1233, 0.3512, 0.3809) x8
O (0.1463, 0.0520, 0.9980) x8
O (0.1805, 0.2048, 0.1237) x8
O (0.2109, 0.1000, 0.7424) x8

=====

Below is a geometry-optimized BaTlO structure, with properties calculated at the GGA-PBE level.

Summary:
- Formation energy without anion corrections: -420 kJ/mol of formula units
- E above lowest polymorph: 0 kJ/mol of formula units

Cell: 12.1479 3.7745 7.4767 Å, 90.00 90.13 90.00°
Space group C2/m (No. 12)
One atom of each set of equivalent atoms:
Ba (0.0000, 0.0000, 0.0000) x2
Ba (0.0000, 0.0000, 0.5000) x2
Tl (0.2367, 0.5000, 0.2516) x4
O (0.0439, 0.5000, 0.2501) x4

=====

Below is a geometry-optimized Ba2TlO structure, with properties calculated at the GGA-PBE level.

Summary:
- Formation energy without anion corrections: -362 kJ/mol of formula units
- E above lowest polymorph: 166 kJ/mol of formula units

Cell: 4.8939 4.8939 28.4952 Å, 90.00 90.00 120.00°
Space group R-3m (No. 166, hexagonal axes)
One atom of each set of equivalent atoms:
Ba (0.0000, 0.0000, 0.0795) x6
Tl (0.0000, 0.0000, 0.5000) x3
O (0.0000, 0.0000, 0.0000) x3

=====

Below is a geometry-optimized Ba5Tl2O2 structure, with properties calculated at the GGA-PBE level.

Summary:
- Formation energy without anion corrections: -1093 kJ/mol of formula units
- E above lowest polymorph: 0 kJ/mol of formula units

Cell: 14.6261 5.9987 7.4958 Å, 90.00 97.79 90.00°
Space group C2/m (No. 12)
One atom of each set of equivalent atoms:
Ba (0.0000, 0.0000, 0.0000) x2
Ba (0.1551, 0.0000, 0.5654) x4
Ba (0.1704, 0.5000, 0.9305) x4
Tl (0.0654, 0.5000, 0.3533) x4
O (0.1676, 0.0000, 0.9010) x4

=====

Below is a geometry-optimized Ba2TlO structure, with properties calculated at the GGA-PBE level.

Summary:
- Formation energy without anion corrections: -489 kJ/mol of formula units
- E above lowest polymorph: 39 kJ/mol of formula units

Cell: 4.0245 4.0245 26.8684 Å, 90.00 90.00 120.00°
Space group R3m (No. 160, hexagonal axes)
One atom of each set of equivalent atoms:
Ba (0.0000, 0.0000, 0.0000) x3
Ba (0.0000, 0.0000, 0.2160) x3
Tl (0.0000, 0.0000, 0.4435) x3
O (0.0000, 0.0000, 0.6131) x3